# 1
Below is a crystal of K2NaCeI6 relaxed with PBEsol, with properties calculated at the meta-GGA SCAN level.

abc: 12.2098 12.2098 12.2098
angles: 90.00 90.00 90.00
Last column: nearest neighbours and their distance in Å.
Space group Fm-3m (No. 225)
Symmetry-distinct sites (fractional):
K1 0.2500 0.2500 0.2500 x8  12 I 4.32
Na1 0.0000 0.0000 0.0000 x4  6 I 3.04
Ce1 0.0000 0.0000 0.5000 x4  6 I 3.06
I1 0.0000 0.0000 0.2490 x24  1 Na 3.04, 1 Ce 3.06

Results
Energy relative to the elements, uncorrected (eV per atom): -1.49
Magnetic moment (μB per atom): 0.10

---

# 2
Below is a crystal of Bi3BRh relaxed with PBEsol, with properties calculated at the meta-GGA SCAN level.

abc: 4.8326 4.8326 4.8326
angles: 90.00 90.00 90.00
Last column: nearest neighbours and their distance in Å.
Space group Pm-3m (No. 221)
Symmetry-distinct sites (fractional):
Bi1 0.0000 0.0000 0.5000 x3  2 B 2.42
B1 0.0000 0.0000 0.0000 x1  6 Bi 2.42
Rh1 0.5000 0.5000 0.5000 x1  12 Bi 3.42

Results
Magnetic moment (μB per atom): 0.00
Energy relative to the elements (kJ/mol of formula units): 533.1
Offset from the most stable computed form (meV per atom): 0
Density of states at the Fermi level (states/eV per atom): 0.68

---

# 3
Below is a crystal of Te3Br relaxed with PBEsol, with properties calculated at the meta-GGA SCAN level.

abc: 7.1926 4.1680 8.4839
angles: 90.00 96.48 90.00
Last column: nearest neighbours and their distance in Å.
Space group C2/m (No. 12)
Symmetry-distinct sites (fractional):
Te1 0.0000 0.0000 0.0000 x2  6 Te 3.05-3.07
Te2 0.1937 0.5000 0.2242 x4  1 Br 2.86, 3 Te 3.05-3.07
Br1 0.0000 0.5000 0.5000 x2  2 Te 2.86

Results
Energy relative to the elements, uncorrected (eV per atom): -0.03
Magnetic moment (μB per atom): 0.00
Offset from the most stable computed form (meV per atom): 0
Density of states at the Fermi level (states/eV per atom): 0.23

---

# 4
Below is a crystal of AlSb2Rh relaxed with PBEsol, with properties calculated at the meta-GGA SCAN level.

abc: 6.1362 7.6121 3.2915
angles: 90.00 90.00 90.00
Last column: nearest neighbours and their distance in Å.
Space group Cmmm (No. 65)
Symmetry-distinct sites (fractional):
Al1 0.0000 0.0000 0.0000 x2  8 Sb 2.95, 2 Rh 3.07, 2 Al 3.29
Sb1 0.2500 0.2500 0.5000 x4  4 Al 2.95, 4 Rh 2.95, 4 Sb 3.07-3.29
Rh1 0.0000 0.5000 0.0000 x2  8 Sb 2.95, 2 Al 3.07, 2 Rh 3.29

Results
Energy relative to the elements, uncorrected (eV per atom): 0.11
Magnetic moment (μB per atom): 0.00
Density of states at the Fermi level (states/eV per atom): 0.55

---

# 5
Below is a crystal of MgTc2Ag relaxed with PBEsol, with properties calculated at the meta-GGA SCAN level.

abc: 2.9706 4.5396 9.2059
angles: 90.00 90.00 90.00
Last column: nearest neighbours and their distance in Å.
Space group Cmm2 (No. 35)
Symmetry-distinct sites (fractional):
Mg1 0.0000 0.0000 0.0000 x2  6 Mg 2.71-2.97, 2 Tc 2.77, 2 Ag 2.80
Tc1 0.0000 0.0000 0.5229 x2  6 Tc 2.54-2.71
Tc2 0.0000 0.5000 0.7463 x2  6 Tc 2.54-2.71, 2 Mg 2.77
Ag1 0.0000 0.5000 0.2578 x2  6 Ag 2.71-2.97, 2 Mg 2.80, 2 Tc 2.86

Results
Magnetic moment (μB per atom): 0.00
Energy relative to the elements (kJ/mol of formula units): 82.8
Density of states at the Fermi level (states/eV per atom): 0.70

---

# 6
Below is a crystal of NbHgSb2I relaxed with PBEsol, with properties calculated at the meta-GGA SCAN level.

abc: 5.3270 5.3270 5.7232
angles: 90.00 90.00 90.00
Last column: nearest neighbours and their distance in Å.
Space group P4/mmm (No. 123)
Symmetry-distinct sites (fractional):
Nb1 0.0000 0.0000 0.0000 x1  4 I 3.77, 8 Sb 3.91
Hg1 0.5000 0.5000 0.5000 x1  4 Sb 2.66, 2 I 2.86
Sb1 0.0000 0.5000 0.5000 x2  2 Hg 2.66
I1 0.5000 0.5000 0.0000 x1  2 Hg 2.86

Results
Energy relative to the elements, uncorrected (eV per atom): 1.23
Magnetic moment (μB per atom): 0.50
Density of states at the Fermi level (states/eV per atom): 0.89

---

# 7
Below is a crystal of Cu3AsOs relaxed with PBEsol, with properties calculated at the meta-GGA SCAN level.

abc: 4.3008 4.3008 4.3008
angles: 90.00 90.00 90.00
Last column: nearest neighbours and their distance in Å.
Space group Pm-3m (No. 221)
Symmetry-distinct sites (fractional):
Cu1 0.0000 0.0000 0.5000 x3  2 As 2.15
As1 0.0000 0.0000 0.0000 x1  6 Cu 2.15
Os1 0.5000 0.5000 0.5000 x1  12 Cu 3.04

Results
Magnetic moment (μB per atom): 0.43
Energy relative to the elements (kJ/mol of formula units): 620.9
Density of states at the Fermi level (states/eV per atom): 0.48

---

# 8
Below is a crystal of AgSnSN2 relaxed with PBEsol, with properties calculated at the meta-GGA SCAN level.

abc: 4.0884 4.0884 5.0011
angles: 90.00 90.00 90.00
Last column: nearest neighbours and their distance in Å.
Space group P4/mmm (No. 123)
Symmetry-distinct sites (fractional):
Ag1 0.0000 0.0000 0.0000 x1  4 N 2.04
Sn1 0.5000 0.5000 0.5000 x1  4 S 2.89, 8 N 3.23
S1 0.0000 0.0000 0.5000 x1  2 Ag 2.50
N1 0.0000 0.5000 0.0000 x2  2 Ag 2.04

Results
Energy relative to the elements, uncorrected (eV per atom): 1.46
Magnetic moment (μB per atom): 0.66
Density of states at the Fermi level (states/eV per atom): 0.29

---

# 9
Below is a crystal of NaBSe3 relaxed with PBEsol, with properties calculated at the meta-GGA SCAN level.

abc: 4.5492 4.5492 4.5492
angles: 90.00 90.00 90.00
Last column: nearest neighbours and their distance in Å.
Space group Pm-3m (No. 221)
Symmetry-distinct sites (fractional):
Na1 0.0000 0.0000 0.0000 x1  12 Se 3.22
B1 0.5000 0.5000 0.5000 x1  6 Se 2.27
Se1 0.0000 0.5000 0.5000 x3  2 B 2.27

Results
Energy relative to the elements, uncorrected (eV per atom): 0.29
Magnetic moment (μB per atom): 0.00
Density of states at the Fermi level (states/eV per atom): 0.59

---

# 10
Below is a crystal of Fe2MoBr relaxed with PBEsol, with properties calculated at the meta-GGA SCAN level.

abc: 5.9928 5.9928 5.9928
angles: 90.00 90.00 90.00
Last column: nearest neighbours and their distance in Å.
Space group F-43m (No. 216)
Symmetry-distinct sites (fractional):
Fe1 0.0000 0.0000 0.0000 x4  4 Fe 2.59, 4 Br 2.59
Fe2 0.2500 0.2500 0.2500 x4  4 Mo 2.59, 4 Fe 2.59
Mo1 0.0000 0.0000 0.5000 x4  4 Fe 2.59, 4 Br 2.59
Br1 0.2500 0.2500 0.7500 x4  4 Mo 2.59, 4 Fe 2.59

Results
Energy relative to the elements, uncorrected (eV per atom): 0.93
Magnetic moment (μB per atom): 1.18
Offset from the most stable computed form (meV per atom): 77
Density of states at the Fermi level (states/eV per atom): 0.67

---

# 11
Below is a crystal of TeAu3 relaxed with PBEsol, with properties calculated at the meta-GGA SCAN level.

abc: 6.7949 3.9134 6.7333
angles: 90.00 109.36 90.00
Last column: nearest neighbours and their distance in Å.
Space group C2/m (No. 12)
Symmetry-distinct sites (fractional):
Te1 0.0000 0.0000 0.0000 x2  6 Au 2.81-2.82
Au1 0.0000 0.5000 0.5000 x2  6 Au 2.71
Au2 0.2453 0.0000 0.7355 x4  3 Au 2.71, 3 Te 2.81-2.82

Results
Energy relative to the elements, uncorrected (eV per atom): 0.01
Magnetic moment (μB per atom): 0.00
Density of states at the Fermi level (states/eV per atom): 0.43

---

# 12
Below is a crystal of NaTi2Ru relaxed with PBEsol, with properties calculated at the meta-GGA SCAN level.

abc: 6.3131 6.3131 6.3131
angles: 90.00 90.00 90.00
Last column: nearest neighbours and their distance in Å.
Space group Fm-3m (No. 225)
Symmetry-distinct sites (fractional):
Na1 0.0000 0.0000 0.0000 x4  8 Ti 2.73
Ti1 0.2500 0.2500 0.2500 x8  4 Na 2.73, 4 Ru 2.73
Ru1 0.0000 0.0000 0.5000 x4  8 Ti 2.73

Results
Magnetic moment (μB per atom): 0.00
Energy relative to the elements (kJ/mol of formula units): 47.2
Density of states at the Fermi level (states/eV per atom): 0.92